## NaCrIO2 (SCAN)

Data for a PBEsol-optimized structure of NaCrIO2.

Cell lengths 4.1583, 4.1583, 5.7939 Å; angles 90.00, 90.00, 90.00 degrees
Atoms (fractional coordinates):
Na 0.0000 0.0000 0.0000
Cr 0.5000 0.5000 0.5000
I 0.0000 0.0000 0.5000
O 0.0000 0.5000 0.0000
O 0.5000 0.0000 0.0000

Results
Energy relative to the elements, uncorrected in eV per atom: 0.23
Crystal system: tetragonal
V in Å³/atom: 20.04
Final energy in eV/atom: -14.1301
Space group: P4/mmm, No. 123